i | This record from the Alexandria database describes a relaxed structure of ReTc2HRh. The functional is PBE-GGA.

Cell lengths 3.941, 3.941, 3.863 Å; angles 90.00, 90.00, 90.00 degrees
Sites, in units of the cell vectors:
Tc1 0.500 0.000 0.000
Tc2 0.000 0.500 0.000
Re1 0.500 0.500 0.500
Rh1 0.000 0.000 0.500
H1 0.000 0.000 0.000

Summary:
DOS(E_F) ... 4.05 states/eV/f.u.


ii | This record from the Alexandria database describes a relaxed structure of ReTc2HRh. The functional is PBE-GGA.

Cell lengths 3.914, 3.914, 3.929 Å; angles 90.00, 90.00, 90.00 degrees
Sites, in units of the cell vectors:
H1 0.000 0.000 0.000
Rh1 0.500 0.500 0.500
Tc1 0.500 0.000 0.000
Tc2 0.000 0.500 0.000
Re1 0.000 0.000 0.500

Summary:
DOS(E_F) ... 4.50 states/eV/f.u.


We find i to be the most stable, with the next structure 40 meV per atom higher.


i | This record from the Alexandria database describes a relaxed structure of TiReHRh2. The functional is PBE-GGA.

Cell lengths 3.867, 3.867, 4.024 Å; angles 90.00, 90.00, 90.00 degrees
Sites, in units of the cell vectors:
Rh1 0.000 0.500 0.000
Rh2 0.500 0.000 0.000
Ti1 0.000 0.000 0.500
H1 0.000 0.000 0.000
Re1 0.500 0.500 0.500

Summary:
DOS(E_F) ... 2.00 states/eV/f.u.


ii | This record from the Alexandria database describes a relaxed structure of TiReHRh2. The functional is PBE-GGA.

Cell lengths 3.897, 3.897, 3.999 Å; angles 90.00, 90.00, 90.00 degrees
Sites, in units of the cell vectors:
Re1 0.000 0.000 0.500
Rh1 0.000 0.500 0.000
Rh2 0.500 0.000 0.000
Ti1 0.500 0.500 0.500
H1 0.000 0.000 0.000

Summary:
DOS(E_F) ... 4.36 states/eV/f.u.


We find i to be the most stable, with the next structure 30 meV per atom higher.


i | This record from the Alexandria database describes a relaxed structure of VReHRh2. The functional is PBE-GGA.

Cell lengths 3.813, 3.813, 4.006 Å; angles 90.00, 90.00, 90.00 degrees
Sites, in units of the cell vectors:
H1 0.000 0.000 0.000
Re1 0.500 0.500 0.500
Rh1 0.000 0.500 0.000
Rh2 0.500 0.000 0.000
V1 0.000 0.000 0.500

Summary:
DOS(E_F) ... 3.36 states/eV/f.u.


ii | This record from the Alexandria database describes a relaxed structure of VReHRh2. The functional is PBE-GGA.

Cell lengths 3.832, 3.832, 3.996 Å; angles 90.00, 90.00, 90.00 degrees
Sites, in units of the cell vectors:
Re1 0.000 0.000 0.500
Rh1 0.500 0.000 0.000
Rh2 0.000 0.500 0.000
V1 0.500 0.500 0.500
H1 0.000 0.000 0.000

Summary:
DOS(E_F) ... 3.43 states/eV/f.u.


We find i to be the most stable, with the next structure 25 meV per atom higher.


i | This record from the Alexandria database describes a relaxed structure of V2ReHRh. The functional is PBE-GGA.

Cell lengths 4.056, 4.056, 3.536 Å; angles 90.00, 90.00, 90.00 degrees
Sites, in units of the cell vectors:
V1 0.000 0.500 0.000
V2 0.500 0.000 0.000
H1 0.000 0.000 0.000
Re1 0.500 0.500 0.500
Rh1 0.000 0.000 0.500

Summary:
DOS(E_F) ... 5.54 states/eV/f.u.


ii | This record from the Alexandria database describes a relaxed structure of V2ReHRh. The functional is PBE-GGA.

Cell lengths 3.920, 3.920, 3.779 Å; angles 90.00, 90.00, 90.00 degrees
Sites, in units of the cell vectors:
V1 0.500 0.000 0.000
V2 0.000 0.500 0.000
Re1 0.000 0.000 0.500
Rh1 0.500 0.500 0.500
H1 0.000 0.000 0.000

Summary:
DOS(E_F) ... 5.41 states/eV/f.u.


We find i to be the most stable, with the next structure 26 meV per atom higher.


i | This record from the Alexandria database describes a relaxed structure of Re2HRhW. The functional is PBE-GGA.

Cell lengths 3.936, 3.936, 4.010 Å; angles 90.00, 90.00, 90.00 degrees
Sites, in units of the cell vectors:
H1 0.000 0.000 0.000
Re1 0.500 0.000 0.000
Re2 0.000 0.500 0.000
Rh1 0.500 0.500 0.500
W1 0.000 0.000 0.500

Summary:
DOS(E_F) ... 3.56 states/eV/f.u.


ii | This record from the Alexandria database describes a relaxed structure of Re2HRhW. The functional is PBE-GGA.

Cell lengths 3.977, 3.977, 3.921 Å; angles 90.00, 90.00, 90.00 degrees
Sites, in units of the cell vectors:
Rh1 0.000 0.000 0.500
W1 0.500 0.500 0.500
Re1 0.000 0.500 0.000
Re2 0.500 0.000 0.000
H1 0.000 0.000 0.000

Summary:
DOS(E_F) ... 3.28 states/eV/f.u.


We find ii to be the most stable, with the next structure 36 meV per atom higher.


i | This record from the Alexandria database describes a relaxed structure of ReHRu. The functional is PBE-GGA.

Cell lengths 4.040, 3.989, 3.989 Å; angles 89.96, 90.00, 90.00 degrees
Sites, in units of the cell vectors:
H1 0.629 0.421 0.904
H2 0.162 0.921 0.404
Ru1 0.396 0.171 0.654
Ru2 0.396 0.671 0.154
Re1 0.896 0.171 0.154
Re2 0.896 0.671 0.654

Summary:
DOS(E_F) ... 2.43 states/eV/f.u.


ii | This record from the Alexandria database describes a relaxed structure of ReHRu. The functional is PBE-GGA.

Cell lengths 4.357, 5.863, 4.953 Å; angles 90.00, 90.00, 90.00 degrees
Sites, in units of the cell vectors:
Re1 0.250 0.611 0.089
Re2 0.750 0.111 0.411
Re3 0.250 0.889 0.589
Re4 0.750 0.389 0.911
H1 0.750 0.115 0.765
H2 0.750 0.385 0.265
H3 0.250 0.615 0.735
H4 0.250 0.885 0.235
Ru1 0.250 0.140 0.073
Ru2 0.750 0.860 0.927
Ru3 0.750 0.640 0.427
Ru4 0.250 0.360 0.573

Summary:
DOS(E_F) ... 1.05 states/eV/f.u.


We find ii to be the most stable, with the next structure 150 meV per atom higher.